The following is a PBE calculation of an optimized crystal structure of HPd3Pb, from Alexandria via LeMat-Bulk.

Cell lengths 5.8638, 5.8638, 14.9242 Å; angles 90.00, 90.00, 120.00 degrees
Closest atoms and distances in Å follow each position.
Space group R-3m (No. 166, hexagonal axes)
Unique sites:
H: 0.0000 0.0000 0.0646 x6  3 Pd 1.76, 1 H 1.93
Pd: 0.0082 0.5041 0.2471 x18  1 H 1.76
Pb: 0.0000 0.0000 0.2543 x6  1 H 2.83, 12 Pd 2.93-3.05

Magnetic moment = 0.00 μB per atom
Excess energy over the best structure of this formula in the dataset = 50 meV/atom
N(E_F) = 28.9 states/eV/cell
E = -4.70 eV per atom